No. 1
{
  "formula": "Ce3SmP4",
  "functional": "PBE",
  "state": "optimized geometry",
  "lattice": [[4.0937, -5.7902, 0.0000], [4.0937, 5.7902, 0.0000], [0.0000, 0.0000, 4.0955]],
  "species": ["Ce", "Ce", "Ce", "Sm", "P", "P", "P", "P"],
  "frac_coords": [[0.0000, 0.0000, 0.0000], [0.0000, 0.5000, 0.5000], [0.5000, 0.0000, 0.5000], [0.5000, 0.5000, 0.0000], [0.2475, 0.2475, 0.5000], [0.2491, 0.7509, 0.0000], [0.7509, 0.2491, 0.0000], [0.7525, 0.7525, 0.5000]],
  "polymorph_energy_mev_per_atom": 0.0,
  "space_group": "Cmmm, No. 65"
}

---

No. 2
{
  "formula": "CeSm2P3",
  "functional": "PBE",
  "state": "optimized geometry",
  "lattice": [[-2.0503, 2.8976, 6.1452], [2.0503, -2.8976, 6.1452], [2.0503, 2.8976, -6.1452]],
  "species": ["Ce", "Sm", "Sm", "P", "P", "P"],
  "frac_coords": [[0.0000, 0.0000, 0.0000], [0.3329, 0.3329, 0.0000], [0.6671, 0.6671, 0.0000], [0.1637, 0.6637, 0.5000], [0.5000, 0.0000, 0.5000], [0.8363, 0.3363, 0.5000]],
  "polymorph_energy_mev_per_atom": 0.0,
  "space_group": "Immm, No. 71"
}

---

No. 3
{
  "formula": "Ce3SmP4",
  "functional": "PBE",
  "state": "optimized geometry",
  "lattice": [[5.7890, 0.0000, 0.0000], [0.0000, 5.7890, 0.0000], [0.0000, 0.0000, 5.7890]],
  "species": ["Ce", "Ce", "Ce", "Sm", "P", "P", "P", "P"],
  "frac_coords": [[0.0000, 0.0000, 0.5000], [0.0000, 0.5000, 0.0000], [0.5000, 0.0000, 0.0000], [0.5000, 0.5000, 0.5000], [0.0000, 0.0000, 0.0000], [0.0000, 0.5000, 0.5000], [0.5000, 0.0000, 0.5000], [0.5000, 0.5000, 0.0000]],
  "polymorph_energy_mev_per_atom": 2.1,
  "space_group": "Pm-3m, No. 221"
}

---

no.,DFT formation energy (eV per formula unit)
1,-12.149
2,-9.342
3,-12.133